DFT (GGA-PBE) results for a relaxed structure of LaBr4.

Results
Space group = Pm-3m (221)
Energy relative to the elements, uncorrected = -1.2833 eV/atom

Lattice parameters (Å, degrees): 5.875 5.875 5.875 90.00 90.00 90.00
Element x y z (fractional)
La 0.000 0.000 0.000
Br 0.000 0.000 0.500
Br 0.000 0.500 0.000
Br 0.500 0.000 0.000
Br 0.500 0.500 0.500